# 1
VASP calculation (PBE-GGA) on a geometry-optimized La4Y2Mg structure.

Its calculated total energy is -66.7 eV for the cell shown. For the volume, the calculation gives 480.3 Å³/cell. For the density of states at the Fermi level, the calculation gives 22.73 states/eV per cell. The calculation puts the spin magnetization at 0.000 μB per cell.

a b c (Å): 7.308 7.308 9.193
angles (deg): 91.05 90.98 101.85
Fractional positions:
La: 0.078 0.200 0.093
La: 0.167 0.736 0.219
La: 0.237 0.668 0.720
La: 0.299 0.423 0.408
La: 0.701 0.577 0.592
La: 0.763 0.332 0.280
La: 0.833 0.264 0.781
La: 0.922 0.800 0.907
Y: 0.000 0.000 0.500
Y: 0.500 0.000 0.000
Y: 0.500 0.000 0.500
Y: 0.500 0.500 0.000
Mg: 0.298 0.202 0.750
Mg: 0.702 0.798 0.250



# 2
VASP calculation (PBE-GGA) on a geometry-optimized ZrBSN2 structure.

Its calculated total energy is -29.6 eV for the cell shown. For the volume, the calculation gives 92.7 Å³/cell. For the density of states at the Fermi level, the calculation gives 3.50 states/eV per cell. As for the uncorrected formation energy: 6.4 eV per formula unit. The calculation puts the spin magnetization at 2.668 μB per cell.

a b c (Å): 4.226 4.226 5.190
angles (deg): 90.00 90.00 90.00
Fractional positions:
Zr: 0.000 0.000 0.000
B: 0.500 0.500 0.500
S: 0.000 0.000 0.500
N: 0.000 0.500 0.000
N: 0.500 0.000 0.000